## Tb2PmTm5Mg (GGA-PBE)

Data for a relaxed structure of Tb2PmTm5Mg.

a b c (Å): 10.307 10.307 10.403
angles (deg): 90.00 90.00 149.69
Sites, in units of the cell vectors:
Tb1 0.115 0.885 0.500
Tb2 0.115 0.885 0.922
Tb3 0.885 0.115 0.000
Tb4 0.885 0.115 0.422
Pm1 0.207 0.793 0.211
Pm2 0.793 0.207 0.711
Tm1 0.013 0.987 0.211
Tm2 0.290 0.710 0.508
Tm3 0.291 0.709 0.913
Tm4 0.386 0.614 0.211
Tm5 0.499 0.501 0.960
Tm6 0.501 0.499 0.460
Tm7 0.614 0.386 0.711
Tm8 0.709 0.291 0.413
Tm9 0.710 0.290 0.008
Tm10 0.987 0.013 0.711
Mg1 0.406 0.594 0.709
Mg2 0.594 0.406 0.209

Calculated values
* symmetry: Cmc2_1 (36)

=====

## Tb4Pm2TmMg (GGA-PBE)

Data for a relaxed structure of Tb4Pm2TmMg.

a b c (Å): 4.985 4.985 10.078
angles (deg): 90.00 90.00 90.00
Sites, in units of the cell vectors:
Tb1 0.000 0.500 0.250
Tb2 0.000 0.500 0.750
Tb3 0.500 0.000 0.250
Tb4 0.500 0.000 0.750
Pm1 0.000 0.000 0.000
Pm2 0.500 0.500 0.500
Tm1 0.000 0.000 0.500
Mg1 0.500 0.500 0.000

Calculated values
* symmetry: P4/mmm (123)

=====

## Tb6Pm3Y2Mg (GGA-PBE)

Data for a relaxed structure of Tb6Pm3Y2Mg.

a b c (Å): 6.184 6.184 11.780
angles (deg): 95.05 95.05 120.04
Sites, in units of the cell vectors:
Tb1 0.081 0.413 0.246
Tb2 0.251 0.251 0.753
Tb3 0.413 0.081 0.246
Tb4 0.587 0.919 0.754
Tb5 0.749 0.749 0.247
Tb6 0.919 0.587 0.754
Pm1 0.166 0.834 0.500
Pm2 0.500 0.500 0.500
Pm3 0.834 0.166 0.500
Y1 0.334 0.666 0.000
Y2 0.666 0.334 0.000
Mg1 0.000 0.000 0.000

Calculated values
* symmetry: C2/m (12)

=====

## TbPm2YMg (GGA-PBE)

Data for a relaxed structure of TbPm2YMg.

a b c (Å): 6.684 5.568 8.680
angles (deg): 90.00 103.46 90.00
Sites, in units of the cell vectors:
Tb1 0.124 0.250 0.060
Tb2 0.876 0.750 0.940
Pm1 0.383 0.250 0.432
Pm2 0.462 0.750 0.146
Pm3 0.538 0.250 0.854
Pm4 0.617 0.750 0.568
Y1 0.044 0.750 0.356
Y2 0.956 0.250 0.644
Mg1 0.238 0.750 0.751
Mg2 0.762 0.250 0.249

Calculated values
* symmetry: P2_1/m (11)

=====

## Tb3Pm6Y2Mg (GGA-PBE)

Data for a relaxed structure of Tb3Pm6Y2Mg.

a b c (Å): 6.226 6.226 11.806
angles (deg): 95.05 95.05 120.02
Sites, in units of the cell vectors:
Tb1 0.000 0.000 0.000
Tb2 0.333 0.667 0.000
Tb3 0.667 0.333 0.000
Pm1 0.086 0.418 0.251
Pm2 0.250 0.250 0.750
Pm3 0.418 0.086 0.251
Pm4 0.582 0.914 0.749
Pm5 0.750 0.750 0.250
Pm6 0.914 0.582 0.749
Y1 0.167 0.833 0.500
Y2 0.833 0.167 0.500
Mg1 0.500 0.500 0.500

Calculated values
* symmetry: C2/m (12)

=====

## Tb6Pm2YMg (GGA-PBE)

Data for a relaxed structure of Tb6Pm2YMg.

a b c (Å): 11.033 11.033 6.656
angles (deg): 94.14 94.14 126.69
Sites, in units of the cell vectors:
Tb1 0.084 0.561 0.278
Tb2 0.091 0.795 0.971
Tb3 0.205 0.909 0.529
Tb4 0.295 0.466 0.019
Tb5 0.439 0.916 0.222
Tb6 0.466 0.295 0.519
Tb7 0.534 0.705 0.481
Tb8 0.561 0.084 0.778
Tb9 0.705 0.534 0.981
Tb10 0.795 0.091 0.471
Tb11 0.909 0.205 0.029
Tb12 0.916 0.439 0.722
Pm1 0.185 0.351 0.505
Pm2 0.351 0.185 0.005
Pm3 0.649 0.815 0.995
Pm4 0.815 0.649 0.495
Y1 0.007 0.993 0.250
Y2 0.993 0.007 0.750
Mg1 0.295 0.705 0.750
Mg2 0.705 0.295 0.250

Calculated values
* symmetry: C2/c (15)

=====

## Tb4PmY2Mg (GGA-PBE)

Data for a relaxed structure of Tb4PmY2Mg.

a b c (Å): 5.773 5.773 7.536
angles (deg): 90.00 90.00 90.00
Sites, in units of the cell vectors:
Tb1 0.000 0.500 0.241
Tb2 0.000 0.500 0.759
Tb3 0.500 0.000 0.241
Tb4 0.500 0.000 0.759
Pm1 0.000 0.000 0.000
Y1 0.000 0.000 0.500
Y2 0.500 0.500 0.500
Mg1 0.500 0.500 0.000

Calculated values
* symmetry: P4/mmm (123)

=====

## Tb2PmY2Mg5 (GGA-PBE)

Data for a relaxed structure of Tb2PmY2Mg5.

a b c (Å): 10.647 10.647 5.122
angles (deg): 90.00 90.00 90.00
Sites, in units of the cell vectors:
Tb1 0.119 0.381 0.000
Tb2 0.381 0.881 0.000
Tb3 0.619 0.119 0.000
Tb4 0.881 0.619 0.000
Pm1 0.000 0.000 0.000
Pm2 0.500 0.500 0.000
Y1 0.178 0.678 0.000
Y2 0.322 0.178 0.000
Y3 0.678 0.822 0.000
Y4 0.822 0.322 0.000
Mg1 0.000 0.500 0.500
Mg2 0.075 0.196 0.500
Mg3 0.196 0.925 0.500
Mg4 0.304 0.425 0.500
Mg5 0.425 0.696 0.500
Mg6 0.500 0.000 0.500
Mg7 0.575 0.304 0.500
Mg8 0.696 0.575 0.500
Mg9 0.804 0.075 0.500
Mg10 0.925 0.804 0.500

Calculated values
* symmetry: P4/mbm (127)

=====

## TbPm2Y2Mg (GGA-PBE)

Data for a relaxed structure of TbPm2Y2Mg.

a b c (Å): 10.016 10.016 10.016
angles (deg): 140.18 55.72 142.67
Sites, in units of the cell vectors:
Tb1 0.250 0.250 0.000
Tb2 0.750 0.750 0.000
Pm1 0.152 0.162 0.314
Pm2 0.348 0.662 0.010
Pm3 0.652 0.338 0.990
Pm4 0.848 0.838 0.686
Y1 0.152 0.656 0.808
Y2 0.348 0.156 0.504
Y3 0.652 0.844 0.496
Y4 0.848 0.344 0.192
Mg1 0.250 0.750 0.500
Mg2 0.750 0.250 0.500

Calculated values
* symmetry: Ibam (72)

=====

## Tb2PmY2Mg2 (GGA-PBE)

Data for a relaxed structure of Tb2PmY2Mg2.

a b c (Å): 8.662 8.662 8.662
angles (deg): 36.90 36.90 36.90
Sites, in units of the cell vectors:
Tb1 0.156 0.156 0.156
Tb2 0.844 0.844 0.844
Pm1 0.000 0.000 0.000
Y1 0.427 0.427 0.427
Y2 0.573 0.573 0.573
Mg1 0.289 0.289 0.289
Mg2 0.711 0.711 0.711

Calculated values
* symmetry: R-3m (166)

=====

## TbPm4Y2Mg (GGA-PBE)

Data for a relaxed structure of TbPm4Y2Mg.

a b c (Å): 5.048 5.048 10.095
angles (deg): 90.00 90.00 90.00
Sites, in units of the cell vectors:
Tb1 0.000 0.000 0.000
Pm1 0.000 0.500 0.254
Pm2 0.000 0.500 0.746
Pm3 0.500 0.000 0.254
Pm4 0.500 0.000 0.746
Y1 0.000 0.000 0.500
Y2 0.500 0.500 0.000
Mg1 0.500 0.500 0.500

Calculated values
* symmetry: P4/mmm (123)

=====

## Tb2Pm3Y6Mg (GGA-PBE)

Data for a relaxed structure of Tb2Pm3Y6Mg.

a b c (Å): 6.190 6.190 11.797
angles (deg): 95.04 95.04 120.05
Sites, in units of the cell vectors:
Tb1 0.166 0.834 0.000
Tb2 0.834 0.166 0.000
Pm1 0.000 0.000 0.500
Pm2 0.334 0.666 0.500
Pm3 0.666 0.334 0.500
Y1 0.087 0.419 0.754
Y2 0.249 0.249 0.247
Y3 0.419 0.087 0.754
Y4 0.581 0.913 0.246
Y5 0.751 0.751 0.753
Y6 0.913 0.581 0.246
Mg1 0.500 0.500 0.000

Calculated values
* symmetry: C2/m (12)

=====

## Tb2Pm6YMg (GGA-PBE)

Data for a relaxed structure of Tb2Pm6YMg.

a b c (Å): 8.984 8.984 9.281
angles (deg): 92.34 92.34 118.12
Sites, in units of the cell vectors:
Tb1 0.181 0.290 0.451
Tb2 0.290 0.181 0.951
Tb3 0.710 0.819 0.049
Tb4 0.819 0.710 0.549
Pm1 0.001 0.778 0.895
Pm2 0.068 0.496 0.702
Pm3 0.222 0.999 0.605
Pm4 0.280 0.637 0.052
Pm5 0.363 0.720 0.448
Pm6 0.496 0.068 0.202
Pm7 0.504 0.932 0.798
Pm8 0.637 0.280 0.552
Pm9 0.720 0.363 0.948
Pm10 0.778 0.001 0.395
Pm11 0.932 0.504 0.298
Pm12 0.999 0.222 0.105
Y1 0.476 0.524 0.750
Y2 0.524 0.476 0.250
Mg1 0.080 0.920 0.250
Mg2 0.920 0.080 0.750

Calculated values
* symmetry: C2/c (15)

=====

## TbPmYMg (GGA-PBE)

Data for a relaxed structure of TbPmYMg.

a b c (Å): 3.656 3.656 9.119
angles (deg): 90.00 90.00 90.00
Sites, in units of the cell vectors:
Tb1 0.000 0.000 0.000
Pm1 0.500 0.500 0.729
Y1 0.000 0.000 0.454
Mg1 0.500 0.500 0.228

Calculated values
* energy relative to the lowest polymorph listed for this composition: 0 meV per atom
* symmetry: P4mm (99)

=====

## Tb2Pm2YMg2 (GGA-PBE)

Data for a relaxed structure of Tb2Pm2YMg2.

a b c (Å): 8.702 8.702 8.702
angles (deg): 36.81 36.81 36.81
Sites, in units of the cell vectors:
Tb1 0.074 0.074 0.074
Tb2 0.926 0.926 0.926
Pm1 0.344 0.344 0.344
Pm2 0.656 0.656 0.656
Y1 0.500 0.500 0.500
Mg1 0.209 0.209 0.209
Mg2 0.791 0.791 0.791

Calculated values
* symmetry: R-3m (166)

=====

## Tb3Pm2Y6Mg (GGA-PBE)

Data for a relaxed structure of Tb3Pm2Y6Mg.

a b c (Å): 6.164 6.164 11.800
angles (deg): 95.02 95.02 120.03
Sites, in units of the cell vectors:
Tb1 0.000 0.000 0.000
Tb2 0.334 0.666 0.000
Tb3 0.666 0.334 0.000
Pm1 0.166 0.834 0.500
Pm2 0.834 0.166 0.500
Y1 0.086 0.417 0.250
Y2 0.252 0.252 0.751
Y3 0.417 0.086 0.250
Y4 0.583 0.914 0.750
Y5 0.748 0.748 0.249
Y6 0.914 0.583 0.750
Mg1 0.500 0.500 0.500

Calculated values
* symmetry: C2/m (12)

=====

## TbPm2Y2Mg5 (GGA-PBE)

Data for a relaxed structure of TbPm2Y2Mg5.

a b c (Å): 10.662 10.662 5.085
angles (deg): 90.00 90.00 90.00
Sites, in units of the cell vectors:
Tb1 0.000 0.000 0.000
Tb2 0.500 0.500 0.000
Pm1 0.176 0.324 0.000
Pm2 0.324 0.824 0.000
Pm3 0.676 0.176 0.000
Pm4 0.824 0.676 0.000
Y1 0.121 0.621 0.000
Y2 0.379 0.121 0.000
Y3 0.621 0.879 0.000
Y4 0.879 0.379 0.000
Mg1 0.000 0.500 0.500
Mg2 0.073 0.804 0.500
Mg3 0.196 0.073 0.500
Mg4 0.304 0.573 0.500
Mg5 0.427 0.304 0.500
Mg6 0.500 0.000 0.500
Mg7 0.573 0.696 0.500
Mg8 0.696 0.427 0.500
Mg9 0.804 0.927 0.500
Mg10 0.927 0.196 0.500

Calculated values
* symmetry: P4/mbm (127)

=====

## Tb6Pm2Y3Mg (GGA-PBE)

Data for a relaxed structure of Tb6Pm2Y3Mg.

a b c (Å): 6.159 6.159 11.779
angles (deg): 95.02 95.02 120.04
Sites, in units of the cell vectors:
Tb1 0.083 0.415 0.750
Tb2 0.249 0.249 0.249
Tb3 0.415 0.083 0.750
Tb4 0.585 0.917 0.250
Tb5 0.751 0.751 0.751
Tb6 0.917 0.585 0.250
Pm1 0.333 0.667 0.500
Pm2 0.667 0.333 0.500
Y1 0.166 0.834 0.000
Y2 0.500 0.500 0.000
Y3 0.834 0.166 0.000
Mg1 0.000 0.000 0.500

Calculated values
* symmetry: C2/m (12)

=====

## TbPmYMg (GGA-PBE)

Data for a relaxed structure of TbPmYMg.

a b c (Å): 5.557 5.557 5.557
angles (deg): 60.00 60.00 60.00
Sites, in units of the cell vectors:
Tb1 0.000 0.000 0.000
Pm1 0.750 0.750 0.750
Y1 0.500 0.500 0.500
Mg1 0.250 0.250 0.250

Calculated values
* energy relative to the lowest polymorph listed for this composition: 111 meV per atom
* symmetry: F-43m (216)

=====

## Pm3MgTc (GGA-PBE)

Data for a relaxed structure of Pm3MgTc.

a b c (Å): 9.432 6.563 10.759
angles (deg): 90.00 118.64 90.00
Sites, in units of the cell vectors:
Pm1 0.115 0.028 0.305
Pm2 0.115 0.472 0.805
Pm3 0.227 0.513 0.541
Pm4 0.227 0.987 0.041
Pm5 0.322 0.009 0.702
Pm6 0.322 0.491 0.202
Pm7 0.678 0.509 0.798
Pm8 0.678 0.991 0.298
Pm9 0.773 0.013 0.959
Pm10 0.773 0.487 0.459
Pm11 0.885 0.528 0.195
Pm12 0.885 0.972 0.695
Mg1 0.493 0.718 0.989
Mg2 0.493 0.782 0.489
Mg3 0.507 0.218 0.511
Mg4 0.507 0.282 0.011
Tc1 0.021 0.181 0.527
Tc2 0.021 0.319 0.027
Tc3 0.979 0.681 0.973
Tc4 0.979 0.819 0.473

Calculated values
* energy relative to the lowest polymorph listed for this composition: 0 meV per atom
* symmetry: P2_1/c (14)

=====

| no. | energy of formation (eV/atom) | magnetic moment (μB per formula unit) | mass density (g/cm3) |
| --- | --- | --- | --- |
| 1 | 0.1101 | 0.0 | 7.929 |
| 2 | 0.0242 | 0.0 | 7.419 |
| 3 | 0.0287 | 0.0 | 6.881 |
| 4 | 0.0132 | 0.0 | 5.943 |
| 5 | 0.0202 | 0.0 | 6.595 |
| 6 | 0.1050 | 0.0 | 7.026 |
| 7 | 0.0904 | 0.0 | 6.497 |
| 8 | 0.0766 | 0.0 | 4.360 |
| 9 | 0.1850 | 0.0 | 5.582 |
| 10 | -0.0433 | 0.0 | 5.454 |
| 11 | 0.0091 | 0.0 | 6.074 |
| 12 | 0.0293 | 0.0 | 5.650 |
| 13 | 0.1140 | 0.0 | 6.561 |
| 14 | -0.0359 | 0.0 | 5.683 |
| 15 | -0.0226 | 0.0 | 5.842 |
| 16 | 0.0231 | 0.0 | 5.756 |
| 17 | 0.0398 | 0.0 | 4.299 |
| 18 | 0.0212 | 0.0 | 6.691 |
| 19 | 0.0746 | 0.0 | 5.709 |
| 20 | 0.0279 | 0.0 | 6.332 |